An optimized crystal structure of Na3LiTi3O8. Source: Alexandria via LeMat-Bulk, functional PBE.

a = 6.446 Å, b = 6.446 Å, c = 6.446 Å
α = 55.33°, β = 55.33°, γ = 55.33°
Fractional positions:
Na 0.000 0.500 0.500
Na 0.500 0.000 0.500
Na 0.500 0.500 0.000
Li 0.500 0.500 0.500
Ti 0.000 0.000 0.500
Ti 0.000 0.500 0.000
Ti 0.500 0.000 0.000
O 0.209 0.739 0.739
O 0.236 0.236 0.236
O 0.261 0.261 0.791
O 0.261 0.791 0.261
O 0.739 0.209 0.739
O 0.739 0.739 0.209
O 0.764 0.764 0.764
O 0.791 0.261 0.261

total magnetic moment: 0.00 μB per formula unit
raw total energy: -107.3 eV/f.u.
uncorrected formation energy: -2537 meV per atom



An optimized crystal structure of Na2Li2TlO4. Source: Alexandria via LeMat-Bulk, functional PBE.

a = 5.857 Å, b = 5.857 Å, c = 7.925 Å
α = 125.49°, β = 125.49°, γ = 33.31°
Fractional positions:
Na 0.181 0.181 0.289
Na 0.819 0.819 0.711
Li 0.346 0.346 0.123
Li 0.654 0.654 0.877
Tl 0.000 0.000 0.500
O 0.220 0.220 0.813
O 0.436 0.436 0.635
O 0.564 0.564 0.365
O 0.780 0.780 0.187

total magnetic moment: 1.03 μB per formula unit
raw total energy: -39.9 eV/f.u.
uncorrected formation energy: -1246 meV per atom



An optimized crystal structure of NaLiTlO3. Source: Alexandria via LeMat-Bulk, functional PBE.

a = 6.764 Å, b = 3.461 Å, c = 7.602 Å
α = 90.00°, β = 100.48°, γ = 90.00°
Fractional positions:
Na 0.166 0.250 0.174
Na 0.834 0.750 0.826
Li 0.087 0.250 0.587
Li 0.913 0.750 0.413
Tl 0.340 0.750 0.839
Tl 0.660 0.250 0.161
O 0.107 0.250 0.845
O 0.189 0.750 0.555
O 0.424 0.750 0.141
O 0.576 0.250 0.859
O 0.811 0.250 0.445
O 0.893 0.750 0.155

total magnetic moment: 1.01 μB per formula unit
raw total energy: -26.3 eV/f.u.
uncorrected formation energy: -964 meV per atom



uncorrected formation energy of number 2 (Na2Li2TlO4)?
-1246 meV per atom



Among the records above, which one has the highest uncorrected formation energy?
NaLiTlO3



Among the records above, which one has the highest uncorrected formation energy?
NaLiTlO3